The following is a PBE-GGA calculation of an optimized crystal structure of LaPm2Sm4Mg, from Alexandria.

VASP energy: -4.268 eV/atom
D(E_F): 15.885 states/eV/f.u.

Lattice parameters (Å, degrees): 5.8825 5.8821 7.6266 90.00 90.07 90.00
With the nearest neighbours (Å) after each atom.
Fractional coordinates of all 8 atoms:
La 0.0000 0.0000 0.0000  8 Sm 3.45, 2 Pm 3.81
Pm 0.0000 0.0000 0.5000  8 Sm 3.56, 2 La 3.81
Pm 0.5000 0.5000 0.5000  8 Sm 3.56-3.57, 2 Mg 3.81
Sm 0.0006 0.5000 0.2367  2 Mg 3.45, 2 La 3.45, 4 Pm 3.56-3.57, 1 Sm 3.61
Sm 0.5003 0.0000 0.2368  2 La 3.45, 2 Mg 3.45, 4 Pm 3.56, 1 Sm 3.61
Sm 0.4997 0.0000 0.7632  2 La 3.45, 2 Mg 3.45, 4 Pm 3.56, 1 Sm 3.61
Sm 0.9994 0.5000 0.7633  2 Mg 3.45, 2 La 3.45, 4 Pm 3.56-3.57, 1 Sm 3.61
Mg 0.5000 0.5000 0.0000  8 Sm 3.45, 2 Pm 3.81



The following is a PBE-GGA calculation of an optimized crystal structure of La4PmSm2Mg, from Alexandria.

VASP energy: -4.390 eV/atom
D(E_F): 11.138 states/eV/f.u.

Lattice parameters (Å, degrees): 5.9399 5.9447 7.8217 90.00 90.00 90.00
With the nearest neighbours (Å) after each atom.
Fractional coordinates of all 8 atoms:
La 0.0000 0.0000 0.2322  2 Mg 3.48, 4 Sm 3.48-3.63, 1 La 3.63, 2 Pm 3.64
La 0.0000 0.0000 0.7678  2 Mg 3.48, 4 Sm 3.48-3.63, 1 La 3.63, 2 Pm 3.64
La 0.5000 0.5000 0.2338  4 Sm 3.49-3.63, 2 Mg 3.49, 2 Pm 3.63, 1 La 3.66
La 0.5000 0.5000 0.7662  4 Sm 3.49-3.63, 2 Mg 3.49, 2 Pm 3.63, 1 La 3.66
Pm 0.0000 0.5000 0.5000  8 La 3.63-3.64, 2 Sm 3.91
Sm 0.0000 0.5000 0.0000  8 La 3.48-3.49
Sm 0.5000 0.0000 0.5000  8 La 3.63, 2 Mg 3.91
Mg 0.5000 0.0000 0.0000  8 La 3.48-3.49



The following is a PBE-GGA calculation of an optimized crystal structure of La4Pm2SmMg, from Alexandria.

VASP energy: -4.440 eV/atom
D(E_F): 10.339 states/eV/f.u.

Lattice parameters (Å, degrees): 5.1711 5.1711 10.2493 90.00 90.00 90.00
With the nearest neighbours (Å) after each atom.
Fractional coordinates of all 8 atoms:
La 0.0000 0.5000 0.2456  2 Mg 3.61, 4 Pm 3.61-3.67, 4 La 3.66, 2 Sm 3.67
La 0.0000 0.5000 0.7544  2 Mg 3.61, 4 Pm 3.61-3.67, 4 La 3.66, 2 Sm 3.67
La 0.5000 0.0000 0.2456  2 Mg 3.61, 4 Pm 3.61-3.67, 4 La 3.66, 2 Sm 3.67
La 0.5000 0.0000 0.7544  2 Mg 3.61, 4 Pm 3.61-3.67, 4 La 3.66, 2 Sm 3.67
Pm 0.0000 0.0000 0.0000  8 La 3.61, 4 Mg 3.66
Pm 0.5000 0.5000 0.5000  4 Sm 3.66, 8 La 3.67
Sm 0.0000 0.0000 0.5000  4 Pm 3.66, 8 La 3.67
Mg 0.5000 0.5000 0.0000  8 La 3.61, 4 Pm 3.66



The following is a PBE-GGA calculation of an optimized crystal structure of LaPm2SmMg, from Alexandria.

VASP energy: -4.143 eV/atom
D(E_F): 7.003 states/eV/f.u.

Lattice parameters (Å, degrees): 6.6432 5.6685 9.0121 90.00 104.28 90.00
With the nearest neighbours (Å) after each atom.
Fractional coordinates of all 10 atoms:
La 0.1705 0.2500 0.0125  4 Pm 3.39-3.75, 1 Mg 3.39, 2 La 3.60, 1 Sm 3.72
La 0.8295 0.7500 0.9875  4 Pm 3.39-3.75, 1 Mg 3.39, 2 La 3.60, 1 Sm 3.72
Pm 0.2426 0.7500 0.7420  3 Mg 3.29-3.40, 1 Sm 3.62, 2 Pm 3.66
Pm 0.3993 0.7500 0.1793  1 Mg 3.29, 2 La 3.39, 1 Sm 3.48, 2 Pm 3.66
Pm 0.6007 0.2500 0.8207  1 Mg 3.29, 2 La 3.39, 1 Sm 3.48, 2 Pm 3.66
Pm 0.7574 0.2500 0.2580  3 Mg 3.29-3.40, 1 Sm 3.62, 2 Pm 3.66
Sm 0.3266 0.2500 0.4382  3 Mg 3.29-3.40, 2 Pm 3.48-3.62, 2 Sm 3.65
Sm 0.6734 0.7500 0.5618  3 Mg 3.29-3.40, 2 Pm 3.48-3.62, 2 Sm 3.65
Mg 0.0367 0.7500 0.3707  4 Pm 3.29-3.40, 3 Sm 3.29-3.40, 1 La 3.39
Mg 0.9633 0.2500 0.6293  4 Pm 3.29-3.40, 3 Sm 3.29-3.40, 1 La 3.39



The following is a PBE-GGA calculation of an optimized crystal structure of La2Pm4SmMg, from Alexandria.

VASP energy: -4.310 eV/atom
D(E_F): 14.892 states/eV/f.u.

Lattice parameters (Å, degrees): 5.8669 5.8753 7.7739 90.00 90.06 90.00
With the nearest neighbours (Å) after each atom.
Fractional coordinates of all 8 atoms:
La 0.0000 0.0000 0.0000  8 Pm 3.60-3.61, 2 Mg 3.89
La 0.5000 0.5000 0.5000  8 Pm 3.44
Pm 0.0001 0.5000 0.2692  4 La 3.44-3.61, 2 Mg 3.44, 1 Pm 3.59, 2 Sm 3.60
Pm 0.9999 0.5000 0.7308  4 La 3.44-3.61, 2 Mg 3.44, 1 Pm 3.59, 2 Sm 3.60
Pm 0.4992 0.0000 0.2696  2 Mg 3.43-3.44, 4 La 3.44-3.61, 1 Pm 3.58, 2 Sm 3.61
Pm 0.5008 0.0000 0.7304  2 Mg 3.43-3.44, 4 La 3.44-3.61, 1 Pm 3.58, 2 Sm 3.61
Sm 0.5000 0.5000 0.0000  8 Pm 3.60-3.61, 2 La 3.89
Mg 0.0000 0.0000 0.5000  8 Pm 3.43-3.44



The following is a PBE-GGA calculation of an optimized crystal structure of La5Pm2SmMg, from Alexandria.

VASP energy: -4.416 eV/atom
D(E_F): 13.890 states/eV/f.u.

Lattice parameters (Å, degrees): 10.5278 10.5278 11.0876 90.00 90.00 148.73
With the nearest neighbours (Å) after each atom.
Fractional coordinates of all 18 atoms:
La 0.9998 0.0002 0.0000  2 Mg 3.37-3.38, 4 Pm 3.70-3.71, 2 La 3.70-3.71
La 0.0002 0.9998 0.5000  2 Mg 3.37-3.38, 4 Pm 3.70-3.71, 2 La 3.70-3.71
La 0.1214 0.8786 0.7510  4 Pm 3.68-3.69, 6 La 3.70-3.91, 1 Sm 3.77
La 0.2123 0.7877 0.4517  1 Mg 3.27, 2 La 3.39, 3 Pm 3.48-3.59, 2 Sm 3.62
La 0.2138 0.7862 0.0516  1 Mg 3.26, 2 La 3.39, 3 Pm 3.47-3.60, 2 Sm 3.63
La 0.4890 0.5110 0.7508  2 Mg 3.31, 2 Pm 3.47-3.49, 1 Sm 3.69
La 0.5110 0.4890 0.2508  2 Mg 3.31, 2 Pm 3.47-3.49, 1 Sm 3.69
La 0.7862 0.2138 0.5516  1 Mg 3.26, 2 La 3.39, 3 Pm 3.47-3.60, 2 Sm 3.63
La 0.7877 0.2123 0.9517  1 Mg 3.27, 2 La 3.39, 3 Pm 3.48-3.59, 2 Sm 3.62
La 0.8786 0.1214 0.2510  4 Pm 3.68-3.69, 6 La 3.70-3.91, 1 Sm 3.77
Pm 0.3840 0.6160 0.4629  9 La 3.48-3.84, 1 Sm 3.56
Pm 0.3849 0.6151 0.0393  9 La 3.47-3.83, 1 Sm 3.56
Pm 0.6151 0.3849 0.5393  9 La 3.47-3.83, 1 Sm 3.56
Pm 0.6160 0.3840 0.9629  9 La 3.48-3.84, 1 Sm 3.56
Sm 0.3071 0.6929 0.7517  2 Mg 3.47, 2 Pm 3.56, 8 La 3.62-3.84
Sm 0.6929 0.3071 0.2517  2 Mg 3.47, 2 Pm 3.56, 8 La 3.62-3.84
Mg 0.0947 0.9053 0.2495  6 La 3.26-3.38, 2 Sm 3.47
Mg 0.9053 0.0947 0.7495  6 La 3.26-3.38, 2 Sm 3.47



no.,calculated formation energy (meV per atom)
1,95
2,47
3,1
4,6
5,86
6,79